No. 1
Crystalline TbPrYHg at its relaxed geometry. Source: the Alexandria database, functional PBE.

Geometry as extended XYZ:
```
4
Lattice="3.6779 0.0000 0.0000 0.0000 3.6779 0.0000 0.0000 0.0000 8.9057" Properties=species:S:1:pos:R:3 pbc="T T T"
Tb 0.0000 0.0000 0.0000
Pr 1.8390 1.8390 6.3770
Y 0.0000 0.0000 3.8211
Hg 1.8390 1.8390 1.9177
```

Calculated values
DFT formation energy = -0.96 eV per formula unit

No. 2
Crystalline TlCuC at its relaxed geometry. Source: the Alexandria database, functional PBE.

Geometry as extended XYZ:
```
6
Lattice="-3.3050 3.5374 4.2762 3.3050 -3.5374 4.2762 3.3050 3.5374 -4.2762" Properties=species:S:1:pos:R:3 pbc="T T T"
Tl 0.0000 0.0000 0.0000
Tl 0.0000 3.5374 0.0000
Cu -1.6525 1.7687 2.1381
Cu 1.6525 1.7687 2.1381
C 0.0000 1.7687 1.2291
C 3.3050 1.7687 3.0471
```

Calculated values
DFT formation energy = 3.32 eV per formula unit

No. 3
Crystalline Nd4Hg3Au2 at its relaxed geometry. Source: the Alexandria database, functional PBE.

Geometry as extended XYZ:
```
9
Lattice="5.1928 0.0000 0.0000 -2.5964 4.4971 0.0000 0.0000 0.0000 10.1988" Properties=species:S:1:pos:R:3 pbc="T T T"
Nd 0.0000 0.0000 1.7046
Nd 0.0000 0.0000 8.4942
Nd 0.0000 2.9981 6.2914
Nd 2.5964 1.4990 3.9075
Hg 0.0000 0.0000 5.0994
Hg 0.0000 2.9981 10.1522
Hg 2.5964 1.4990 0.0466
Au 0.0000 2.9981 3.2006
Au 2.5964 1.4990 6.9982
```

Calculated values
DFT formation energy = -4.90 eV per formula unit

No. 4
Crystalline Sm4HgRhAu2 at its relaxed geometry. Source: the Alexandria database, functional PBE.

Geometry as extended XYZ:
```
8
Lattice="2.5988 1.5004 8.3800 -2.5988 1.5004 8.3800 0.0000 -3.0008 8.3800" Properties=species:S:1:pos:R:3 pbc="T T T"
Sm 0.0000 0.0000 2.9356
Sm 0.0000 0.0000 9.2656
Sm 0.0000 0.0000 15.8745
Sm 0.0000 0.0000 22.2045
Hg 0.0000 0.0000 12.5700
Rh 0.0000 0.0000 0.0000
Au 0.0000 0.0000 6.0828
Au 0.0000 0.0000 19.0573
```

Calculated values
DFT formation energy = -5.62 eV per formula unit

| no. | total energy (eV for the cell shown) |
| --- | --- |
| 1 | -17.1 |
| 2 | -24.7 |
| 3 | -31.4 |
| 4 | -38.7 |